First-principles (PBE) data for a relaxed Er2GeBPt6 crystal, as listed in Alexandria. Values from VASP.

Output
The calculation puts the magnetization at 0.00 μB/cell. The energy relative to the elements comes out at -0.88 eV/atom. The value obtained for the density is 14.8 g cm⁻³. For the calculated total energy, the calculation gives -6.549 eV/atom.

Cell and atoms, written as Quantum ESPRESSO input:
```
&SYSTEM
  ibrav = 0, nat = 20, ntyp = 4
/
ATOMIC_SPECIES
Er 167.26 Er.upf
Ge 72.64 Ge.upf
B 10.81 B.upf
Pt 195.08 Pt.upf
CELL_PARAMETERS angstrom
5.663 0.000 0.000
0.000 8.572 0.000
0.000 0.000 7.341
ATOMIC_POSITIONS crystal
Er 0.250 0.032 0.222
Er 0.250 0.468 0.222
Er 0.750 0.532 0.778
Er 0.750 0.968 0.778
Ge 0.250 0.750 0.815
Ge 0.750 0.250 0.185
B 0.250 0.250 0.700
B 0.750 0.750 0.300
Pt 0.002 0.250 0.914
Pt 0.006 0.750 0.509
Pt 0.250 0.004 0.651
Pt 0.250 0.496 0.651
Pt 0.494 0.750 0.509
Pt 0.498 0.250 0.914
Pt 0.502 0.750 0.086
Pt 0.506 0.250 0.491
Pt 0.750 0.504 0.349
Pt 0.750 0.996 0.349
Pt 0.994 0.250 0.491
Pt 0.998 0.750 0.086
```